No. 1
The following is a DFT calculation (PBE) of an optimized crystal structure of MgWS2.

Its magnetic moment is 0.00 μB per formula unit. As for the energy above the most stable polymorph in this dataset: 0.208 eV per atom. Its space-group type is Fm-3m.

a = 6.151 Å, b = 6.151 Å, c = 6.151 Å
α = 90.00°, β = 90.00°, γ = 90.00°
Sites, in units of the cell vectors:
Mg 0.000 0.000 0.000
Mg 0.000 0.500 0.500
Mg 0.500 0.000 0.500
Mg 0.500 0.500 0.000
W 0.000 0.000 0.500
W 0.000 0.500 0.000
W 0.500 0.000 0.000
W 0.500 0.500 0.500
S 0.250 0.250 0.250
S 0.250 0.250 0.750
S 0.250 0.750 0.250
S 0.250 0.750 0.750
S 0.750 0.250 0.250
S 0.750 0.250 0.750
S 0.750 0.750 0.250
S 0.750 0.750 0.750



No. 2
The following is a DFT calculation (PBE) of an optimized crystal structure of MgW2S4.

Its magnetic moment is 0.00 μB per formula unit. As for the energy above the most stable polymorph in this dataset: 0.000 eV per atom. Its space-group type is Imm2.

a = 6.912 Å, b = 6.912 Å, c = 6.912 Å
α = 116.99°, β = 111.44°, γ = 100.41°
Sites, in units of the cell vectors:
Mg 0.000 0.000 0.000
Mg 0.911 0.411 0.500
W 0.428 0.214 0.787
W 0.428 0.641 0.213
W 0.436 0.637 0.800
W 0.837 0.637 0.200
S 0.141 0.431 0.290
S 0.141 0.851 0.710
S 0.149 0.361 0.788
S 0.211 0.912 0.300
S 0.572 0.361 0.212
S 0.612 0.912 0.700
S 0.696 0.456 0.760
S 0.696 0.937 0.240



No. 3
The following is a DFT calculation (PBE) of an optimized crystal structure of MgW3S.

Its magnetic moment is 0.00 μB per formula unit. As for the energy above the most stable polymorph in this dataset: 0.000 eV per atom. Its space-group type is Pm-3m.

a = 4.455 Å, b = 4.455 Å, c = 4.455 Å
α = 90.00°, β = 90.00°, γ = 90.00°
Sites, in units of the cell vectors:
Mg 0.000 0.000 0.000
W 0.000 0.500 0.500
W 0.500 0.000 0.500
W 0.500 0.500 0.000
S 0.500 0.500 0.500



No. 4
The following is a DFT calculation (PBE) of an optimized crystal structure of MgW3S.

Its magnetic moment is 0.00 μB per formula unit. As for the energy above the most stable polymorph in this dataset: 2.117 eV per atom. Its space-group type is Pm-3m.

a = 4.618 Å, b = 4.618 Å, c = 4.618 Å
α = 90.00°, β = 90.00°, γ = 90.00°
Sites, in units of the cell vectors:
Mg 0.000 0.000 0.000
W 0.000 0.000 0.500
W 0.000 0.500 0.000
W 0.500 0.000 0.000
S 0.500 0.500 0.500



No. 5
The following is a DFT calculation (PBE) of an optimized crystal structure of MgW2S4.

Its magnetic moment is 0.00 μB per formula unit. As for the energy above the most stable polymorph in this dataset: 0.271 eV per atom. Its space-group type is Fd-3m.

a = 7.232 Å, b = 7.232 Å, c = 7.232 Å
α = 60.00°, β = 60.00°, γ = 60.00°
Sites, in units of the cell vectors:
Mg 0.125 0.125 0.125
Mg 0.875 0.875 0.875
W 0.000 0.500 0.500
W 0.500 0.000 0.500
W 0.500 0.500 0.000
W 0.500 0.500 0.500
S 0.259 0.259 0.259
S 0.259 0.259 0.724
S 0.259 0.724 0.259
S 0.276 0.741 0.741
S 0.724 0.259 0.259
S 0.741 0.276 0.741
S 0.741 0.741 0.276
S 0.741 0.741 0.741



No. 6
The following is a DFT calculation (PBE) of an optimized crystal structure of MgWS2.

Its magnetic moment is 0.00 μB per formula unit. As for the energy above the most stable polymorph in this dataset: 0.000 eV per atom. Its space-group type is R-3m.

a = 3.217 Å, b = 3.217 Å, c = 25.638 Å
α = 90.00°, β = 90.00°, γ = 120.00°
Sites, in units of the cell vectors:
Mg 0.000 0.000 0.000
Mg 0.333 0.667 0.667
Mg 0.667 0.333 0.333
W 0.000 0.000 0.500
W 0.333 0.667 0.167
W 0.667 0.333 0.833
S 0.000 0.000 0.105
S 0.000 0.000 0.895
S 0.333 0.667 0.562
S 0.333 0.667 0.771
S 0.667 0.333 0.229
S 0.667 0.333 0.438



No. 7
The following is a DFT calculation (PBE) of an optimized crystal structure of MgWS2.

Its magnetic moment is 0.00 μB per formula unit. As for the energy above the most stable polymorph in this dataset: 0.231 eV per atom. Its space-group type is I-42d.

a = 5.433 Å, b = 5.433 Å, c = 11.475 Å
α = 90.00°, β = 90.00°, γ = 90.00°
Sites, in units of the cell vectors:
Mg 0.000 0.000 0.000
Mg 0.000 0.500 0.250
Mg 0.500 0.000 0.750
Mg 0.500 0.500 0.500
W 0.000 0.000 0.500
W 0.000 0.500 0.750
W 0.500 0.000 0.250
W 0.500 0.500 0.000
S 0.224 0.250 0.625
S 0.250 0.724 0.875
S 0.250 0.776 0.375
S 0.276 0.250 0.125
S 0.724 0.750 0.125
S 0.750 0.224 0.375
S 0.750 0.276 0.875
S 0.776 0.750 0.625



No. 8
The following is a DFT calculation (PBE) of an optimized crystal structure of Y3Mg2WS8.

Its magnetic moment is 2.99 μB per formula unit. The calculation puts the total energy at -6.390 eV per atom. Its space-group type is R-3m.

a = 7.688 Å, b = 7.688 Å, c = 7.688 Å
α = 61.27°, β = 61.27°, γ = 61.27°
Sites, in units of the cell vectors:
Y 0.000 0.500 0.500
Y 0.500 0.000 0.500
Y 0.500 0.500 0.000
Mg 0.126 0.126 0.126
Mg 0.874 0.874 0.874
W 0.500 0.500 0.500
S 0.255 0.255 0.255
S 0.267 0.267 0.732
S 0.267 0.732 0.267
S 0.268 0.733 0.733
S 0.732 0.267 0.267
S 0.733 0.268 0.733
S 0.733 0.733 0.268
S 0.745 0.745 0.745